Hf2Ni2Pt | PBE-GGA | optimized geometry

The structure in POSCAR format:
```
Hf2Ni2Pt
1.0
6.875 0.000 0.000
0.000 6.875 0.000
0.000 0.000 3.323
Pt Ni Hf
2 4 4
Cartesian
3.437 3.437 0.000
0.000 0.000 0.000
0.852 2.585 0.000
2.585 6.022 0.000
4.290 0.852 0.000
6.022 4.290 0.000
2.222 1.215 1.662
1.215 4.653 1.662
4.653 5.659 1.662
5.659 2.222 1.662
```

Output
D(E_F) ... 0.840 states/eV/atom
E_form ... -3.78 eV per formula unit

Ti2TeN | PBE-GGA | optimized geometry

The structure in POSCAR format:
```
Ti2TeN
1.0
3.311 0.000 0.000
1.655 2.867 0.000
1.655 0.956 6.316
Te Ti N
1 2 1
Cartesian
3.311 1.911 3.158
4.966 2.867 5.339
1.655 0.956 0.977
0.000 0.000 0.000
```

Output
Energy relative to the elements, uncorrected ... -1.04 eV/atom
Distance to the lowest polymorph of the same formula ... 0 meV/atom
D(E_F) ... 0.816 states/eV/atom

Sc2Cu3Pd3 | PBE-GGA | optimized geometry

The structure in POSCAR format:
```
Sc2Cu3Pd3
1.0
-1.502 1.592 -3.337
-3.114 -2.604 0.160
-3.925 4.947 4.127
Sc Cu Pd
2 3 3
Cartesian
-2.937 3.702 3.088
-0.988 1.245 1.039
-3.266 0.702 -0.581
-0.751 0.796 -1.668
-5.275 3.233 1.531
-1.557 -1.302 0.080
-3.520 1.172 2.143
-2.714 3.270 0.395
```

Output
D(E_F) ... 0.534 states/eV/atom
E_form ... -4.11 eV per formula unit

MnZnNi4 | PBE-GGA | optimized geometry

The structure in POSCAR format:
```
MnZnNi4
1.0
4.304 -0.097 -0.927
-0.465 5.781 -2.267
-0.242 0.009 5.679
Ni Mn Zn
8 2 2
Cartesian
2.397 2.103 2.063
3.468 0.642 3.839
0.130 5.051 -1.354
1.201 3.590 0.421
1.749 4.566 2.696
1.849 1.128 -0.212
2.477 5.490 -0.700
1.121 0.204 3.185
-0.018 1.589 1.389
3.616 4.105 1.095
3.105 3.088 -1.255
0.493 2.606 3.740
```

Output
D(E_F) ... 0.930 states/eV/atom
E_form ... -0.51 eV per formula unit

KAs2Pd3 | PBE-GGA | optimized geometry

The structure in POSCAR format:
```
KAs2Pd3
1.0
-3.281 1.956 1.563
-2.482 -2.597 -7.411
-0.774 -5.752 5.574
K Pd As
2 6 4
Cartesian
-1.367 -0.874 -1.778
-5.170 -5.519 1.503
-3.483 -2.114 0.783
-3.054 -4.279 -1.058
-2.859 -3.106 3.335
-0.656 -2.241 1.428
-5.881 -4.151 -1.703
-3.678 -3.287 -3.610
-4.549 -2.074 -1.506
-4.581 -6.270 -1.771
-1.956 -0.123 1.496
-1.988 -4.319 1.231
```

Output
D(E_F) ... 0.448 states/eV/atom
E_form ... -2.63 eV per formula unit

CuAgRh2 | PBE-GGA | optimized geometry

The structure in POSCAR format:
```
CuAgRh2
1.0
2.779 0.000 0.000
0.000 4.579 0.000
0.000 0.000 4.672
Rh Ag Cu
2 1 1
Cartesian
0.000 0.000 0.000
1.389 2.290 0.000
1.389 0.000 2.336
0.000 2.290 2.336
```

Output
Distance to the lowest polymorph of the same formula ... 139 meV/atom
D(E_F) ... 1.451 states/eV/atom
E_form ... 1.00 eV per formula unit

LiSi3Ni2 | PBE-GGA | optimized geometry

The structure in POSCAR format:
```
LiSi3Ni2
1.0
4.882 0.000 0.000
0.000 5.819 0.638
0.000 -1.319 5.704
Si Ni Li
6 4 2
Cartesian
3.662 -0.144 2.665
3.662 0.232 0.327
1.221 4.268 6.014
1.221 1.938 5.597
1.221 4.644 3.676
3.662 2.563 0.744
0.000 0.283 4.567
2.441 0.283 4.567
0.000 4.218 1.774
2.441 4.218 1.774
3.662 2.684 3.781
1.221 1.817 2.560
```

Output
Energy relative to the elements, uncorrected ... -0.34 eV/atom
Distance to the lowest polymorph of the same formula ... 0 meV/atom
D(E_F) ... 0.244 states/eV/atom

Ho3ErTm2Te6 | PBE-GGA | optimized geometry

The structure in POSCAR format:
```
Ho3ErTm2Te6
1.0
-0.032 4.300 -0.027
-6.992 -0.020 5.148
7.255 -2.058 6.058
Te Tm Ho Er
6 2 3 1
Cartesian
1.884 0.053 6.172
-1.653 2.169 5.007
1.803 2.179 2.444
1.960 2.227 9.882
-1.572 0.043 8.735
-1.730 -0.005 1.297
0.149 2.198 7.461
0.082 0.024 3.717
3.659 2.208 4.889
-3.428 0.014 6.290
-3.512 2.140 2.561
-0.016 2.150 -0.013
```

Output
Energy relative to the elements, uncorrected ... -1.21 eV/atom
D(E_F) ... 0.518 states/eV/atom

Tb2Dy2Pd3 | PBE-GGA | optimized geometry

The structure in POSCAR format:
```
Tb2Dy2Pd3
1.0
4.175 -0.010 0.004
-2.089 6.647 -0.152
0.002 -1.160 6.976
Dy Pd Tb
2 3 2
Cartesian
2.101 4.088 4.344
-0.013 1.389 2.483
0.000 0.000 0.000
2.076 3.121 1.699
0.011 2.356 5.129
2.094 0.630 6.154
-0.006 4.847 0.674
```

Output
D(E_F) ... 0.683 states/eV/atom
E_form ... -4.31 eV per formula unit

ZnAg3N | PBE-GGA | optimized geometry

The structure in POSCAR format:
```
ZnAg3N
1.0
4.411 0.000 0.000
0.000 4.411 0.000
0.000 0.000 4.411
Zn Ag N
1 3 1
Cartesian
2.206 2.206 2.206
0.000 0.000 2.206
0.000 2.206 0.000
2.206 0.000 0.000
0.000 0.000 0.000
```

Output
Energy relative to the elements, uncorrected ... 0.63 eV/atom
Distance to the lowest polymorph of the same formula ... 0 meV/atom
D(E_F) ... 0.148 states/eV/atom

Sm2ScP | PBE-GGA | optimized geometry

The structure in POSCAR format:
```
Sm2ScP
1.0
-0.525 -3.703 -0.493
2.101 -2.475 1.921
-6.133 -2.081 7.730
Sc Sm P
1 2 1
Cartesian
0.000 0.000 0.000
-0.617 -6.185 3.818
-3.939 -2.074 5.340
-2.278 -4.130 4.579
```

Output
D(E_F) ... 1.285 states/eV/atom
E_form ... -1.54 eV per formula unit

BaHf4Al2 | PBE-GGA | optimized geometry

The structure in POSCAR format:
```
BaHf4Al2
1.0
-2.638 -2.178 4.050
4.351 0.329 3.011
-1.042 5.227 5.602
Hf Al Ba
4 2 1
Cartesian
-1.319 -1.089 2.025
-0.251 2.664 4.739
0.922 0.714 7.924
2.176 0.165 1.505
0.495 0.246 3.925
0.176 3.131 8.738
0.000 0.000 0.000
```

Output
D(E_F) ... 1.181 states/eV/atom
E_form ... 10.88 eV per formula unit

Mn2CrGeC | PBE-GGA | optimized geometry

The structure in POSCAR format:
```
Mn2CrGeC
1.0
-2.357 -1.771 2.389
2.887 -2.094 1.297
0.733 2.697 2.723
Cr Ge C Mn
1 1 1 2
Cartesian
0.367 1.349 1.361
0.631 -0.584 3.204
0.000 0.000 0.000
-1.179 -0.885 1.195
1.444 -1.047 0.648
```

Output
D(E_F) ... 0.673 states/eV/atom
E_form ... -0.15 eV per formula unit

K2TlAu | PBE-GGA | optimized geometry

The structure in POSCAR format:
```
K2TlAu
1.0
5.002 0.000 0.000
0.000 4.944 0.006
0.000 2.457 6.216
Tl Au K
1 1 2
Cartesian
0.000 4.628 3.188
2.501 4.622 4.604
2.501 2.156 2.030
0.000 7.095 5.732
```

Output
D(E_F) ... 0.599 states/eV/atom
E_form ... -0.76 eV per formula unit

PrNd5Sm2Dy | PBE-GGA | optimized geometry

The structure in POSCAR format:
```
PrNd5Sm2Dy
1.0
-6.127 5.153 -4.101
2.984 -2.821 -8.003
-3.522 -7.077 6.236
Nd Pr Sm Dy
10 2 4 2
Cartesian
-6.108 -2.197 0.594
-0.557 -2.548 -6.462
-1.572 1.166 -6.052
-3.367 -0.212 -9.193
-5.380 1.638 -5.541
-1.285 -6.382 -0.327
-2.571 -0.699 -2.809
-3.299 -4.533 3.325
-4.094 -4.046 -3.059
0.000 0.000 0.000
-4.119 -1.789 -5.960
-2.547 -2.955 0.092
0.283 -0.513 -8.657
0.441 -0.490 -3.551
-3.426 2.846 -3.446
-3.584 2.823 -8.552
-5.611 -0.379 -1.958
-1.055 -4.366 -3.910
```

Output
D(E_F) ... 1.581 states/eV/atom
E_form ... 2.48 eV per formula unit

Ac3PmPr4 | PBE-GGA | optimized geometry

The structure in POSCAR format:
```
Ac3PmPr4
1.0
-0.540 -4.188 -4.542
-4.249 -3.284 3.533
-16.380 -2.024 8.047
Ac Pm Pr
3 1 4
Cartesian
-2.124 -1.642 1.766
-9.180 -2.639 3.524
-11.989 -6.856 3.513
-0.270 -2.094 -2.271
-12.664 -3.358 4.601
-15.571 -7.409 4.448
-5.598 -2.086 2.589
-8.505 -6.138 2.436
```

Output
Distance to the lowest polymorph of the same formula ... 64 meV/atom
D(E_F) ... 1.572 states/eV/atom
E_form ... 0.70 eV per formula unit

Ir2PtBr | PBE-GGA | optimized geometry

The structure in POSCAR format:
```
Ir2PtBr
1.0
-2.793 -0.517 0.773
0.893 -0.819 2.682
-0.665 7.225 2.427
Ir Br Pt
2 1 1
Cartesian
-0.318 3.454 1.160
-0.015 0.158 0.053
-1.449 4.751 3.548
-1.116 1.138 2.334
```

Output
Energy relative to the elements, uncorrected ... 0.79 eV/atom
Distance to the lowest polymorph of the same formula ... 291 meV/atom
D(E_F) ... 0.933 states/eV/atom

BaCo2Ni | PBE-GGA | optimized geometry

The structure in POSCAR format:
```
BaCo2Ni
1.0
4.073 0.000 0.000
0.000 4.181 -0.042
0.000 1.122 5.086
Co Ni Ba
2 1 1
Cartesian
0.000 0.246 0.874
0.000 2.405 1.648
2.036 1.326 1.261
2.036 3.977 3.783
```

Output
Distance to the lowest polymorph of the same formula ... 318 meV/atom
D(E_F) ... 1.267 states/eV/atom
E_form ... 1.90 eV per formula unit

Pu5Bi3 | PBE-GGA | optimized geometry

The structure in POSCAR format:
```
Pu5Bi3
1.0
6.102 0.000 0.000
0.000 8.209 -4.740
0.000 0.000 9.479
Pu Bi
10 6
Cartesian
4.576 6.325 3.652
0.000 2.736 4.740
1.525 6.325 -3.652
3.051 5.473 0.000
1.525 1.885 1.088
0.000 5.473 0.000
1.525 0.000 7.303
3.051 2.736 4.740
4.576 0.000 2.176
4.576 1.885 -1.088
4.576 0.000 5.773
1.525 0.000 3.707
4.576 3.210 1.853
1.525 4.999 2.886
1.525 3.210 -1.853
4.576 4.999 -2.886
```

Output
D(E_F) ... 5.989 states/eV/atom
E_form ... -1.67 eV per formula unit

AcTb7Pm12 | PBE-GGA | optimized geometry

The structure in POSCAR format:
```
AcTb7Pm12
1.0
8.601 1.142 1.714
-1.294 8.579 1.714
-1.294 -1.722 8.577
Tb Ac Pm
7 1 12
Cartesian
6.198 7.266 8.307
-0.186 0.733 3.699
2.952 7.307 9.905
0.756 3.404 1.448
5.256 4.595 10.558
3.006 4.000 6.003
3.060 0.692 2.102
0.000 0.000 0.000
6.119 2.139 8.187
-0.107 5.860 3.819
4.765 7.750 5.127
1.247 0.250 6.879
3.284 5.693 3.143
5.659 2.937 2.880
6.245 4.648 5.542
2.728 2.306 8.864
1.457 6.923 6.424
-0.233 3.351 6.464
0.353 5.063 9.126
4.555 1.076 5.582
```

Output
Distance to the lowest polymorph of the same formula ... 0 meV/atom
D(E_F) ... 1.701 states/eV/atom
E_form ... 4.38 eV per formula unit